[1]
# CsKCd2Sb2

An optimized crystal structure of CsKCd2Sb2 (PBE-GGA, the Alexandria database).

Cell: 4.8983 4.8983 11.2085 Å, 90.00 90.00 120.00°
Fractional coordinates of all 6 atoms:
Cs: 0.0000 0.0000 0.0000
K: 0.0000 0.0000 0.5000
Cd: 0.3333 0.6667 0.7244
Cd: 0.6667 0.3333 0.2756
Sb: 0.3333 0.6667 0.2649
Sb: 0.6667 0.3333 0.7351

Computed properties:
* formation energy from raw total energies: -0.41 eV per atom
* theoretical density: 4.566 g/cm³

---

[2]
# CsKCdSb2

An optimized crystal structure of CsKCdSb2 (PBE-GGA, the Alexandria database).

Cell: 6.4355 6.4355 6.7194 Å, 90.00 90.00 90.00°
Fractional coordinates of all 5 atoms:
Cs: 0.0000 0.0000 0.0000
K: 0.5000 0.5000 0.5000
Cd: 0.0000 0.0000 0.5000
Sb: 0.0000 0.5000 0.0000
Sb: 0.5000 0.0000 0.0000

Computed properties:
* formation energy from raw total energies: 0.64 eV per atom
* theoretical density: 3.150 g/cm³

---

[3]
# CsK2CdSb

An optimized crystal structure of CsK2CdSb (PBE-GGA, the Alexandria database).

Cell: 6.8251 6.8251 5.9602 Å, 90.00 90.00 90.00°
Fractional coordinates of all 5 atoms:
Cs: 0.0000 0.0000 0.0000
K: 0.0000 0.5000 0.5000
K: 0.5000 0.0000 0.5000
Cd: 0.5000 0.5000 0.0000
Sb: 0.5000 0.5000 0.5000

Computed properties:
* energy above the lowest structure with this stoichiometry: 0.0 meV per atom
* formation energy from raw total energies: -0.13 eV per atom
* theoretical density: 2.663 g/cm³

---

[4]
# CsK2CdSb

An optimized crystal structure of CsK2CdSb (PBE-GGA, the Alexandria database).

Cell: 6.6243 6.6243 5.8470 Å, 90.00 90.00 90.00°
Fractional coordinates of all 5 atoms:
Cs: 0.0000 0.0000 0.0000
K: 0.0000 0.5000 0.5000
K: 0.5000 0.0000 0.5000
Cd: 0.5000 0.5000 0.5000
Sb: 0.5000 0.5000 0.0000

Computed properties:
* energy above the lowest structure with this stoichiometry: 38.6 meV per atom
* formation energy from raw total energies: -0.09 eV per atom
* theoretical density: 2.882 g/cm³

---

[5]
# Cs2KCdSe

An optimized crystal structure of Cs2KCdSe (PBE-GGA, the Alexandria database).

Cell: 7.0468 7.0468 6.2795 Å, 90.00 90.00 90.00°
Fractional coordinates of all 5 atoms:
Cs: 0.0000 0.5000 0.0000
Cs: 0.5000 0.0000 0.0000
K: 0.0000 0.0000 0.5000
Cd: 0.5000 0.5000 0.5000
Se: 0.0000 0.0000 0.0000

Computed properties:
* formation energy from raw total energies: -0.51 eV per atom
* theoretical density: 2.643 g/cm³

---

[6]
# CsKCdSe2

An optimized crystal structure of CsKCdSe2 (PBE-GGA, the Alexandria database).

Cell: 6.1714 8.3914 7.0463 Å, 90.00 90.00 90.00°
Fractional coordinates of all 10 atoms:
Cs: 0.2500 0.0000 0.2166
Cs: 0.7500 0.0000 0.7834
K: 0.2500 0.5000 0.4304
K: 0.7500 0.5000 0.5696
Cd: 0.0000 0.5000 0.0000
Cd: 0.5000 0.5000 0.0000
Se: 0.2500 0.2756 0.8031
Se: 0.2500 0.7244 0.8031
Se: 0.7500 0.2756 0.1969
Se: 0.7500 0.7244 0.1969

Computed properties:
* formation energy from raw total energies: -0.76 eV per atom
* theoretical density: 4.026 g/cm³

---

[7]
# CsKCdSn

An optimized crystal structure of CsKCdSn (PBE-GGA, the Alexandria database).

Cell: 8.3112 8.3112 8.3112 Å, 90.00 90.00 90.00°
Fractional coordinates of all 16 atoms:
Cs: 0.0000 0.0000 0.0000
Cs: 0.0000 0.5000 0.5000
Cs: 0.5000 0.0000 0.5000
Cs: 0.5000 0.5000 0.0000
K: 0.2500 0.2500 0.2500
K: 0.2500 0.7500 0.7500
K: 0.7500 0.2500 0.7500
K: 0.7500 0.7500 0.2500
Cd: 0.2500 0.2500 0.7500
Cd: 0.2500 0.7500 0.2500
Cd: 0.7500 0.2500 0.2500
Cd: 0.7500 0.7500 0.7500
Sn: 0.0000 0.0000 0.5000
Sn: 0.0000 0.5000 0.0000
Sn: 0.5000 0.0000 0.0000
Sn: 0.5000 0.5000 0.5000

Computed properties:
* energy above the lowest structure with this stoichiometry: 132.1 meV per atom
* theoretical density: 4.664 g/cm³
* ΔH_f (0 K): -0.0388 eV per atom

---

[8]
# CsKCdSn

An optimized crystal structure of CsKCdSn (PBE-GGA, the Alexandria database).

Cell: 5.2765 5.2765 21.6879 Å, 90.00 90.00 120.00°
Fractional coordinates of all 12 atoms:
Cs: 0.0000 0.0000 0.0000
Cs: 0.3333 0.6667 0.6667
Cs: 0.6667 0.3333 0.3333
K: 0.0000 0.0000 0.7995
K: 0.3333 0.6667 0.4662
K: 0.6667 0.3333 0.1329
Cd: 0.0000 0.0000 0.2178
Cd: 0.3333 0.6667 0.8845
Cd: 0.6667 0.3333 0.5511
Sn: 0.0000 0.0000 0.5516
Sn: 0.3333 0.6667 0.2183
Sn: 0.6667 0.3333 0.8850

Computed properties:
* energy above the lowest structure with this stoichiometry: 0.0 meV per atom
* theoretical density: 3.838 g/cm³
* ΔH_f (0 K): -0.1709 eV per atom

---

[9]
# Cs2KTiCd

An optimized crystal structure of Cs2KTiCd (PBE-GGA, the Alexandria database).

Cell: 7.0253 7.0253 5.5025 Å, 90.00 90.00 90.00°
Fractional coordinates of all 5 atoms:
Cs: 0.0000 0.5000 0.0000
Cs: 0.5000 0.0000 0.0000
K: 0.0000 0.0000 0.5000
Ti: 0.5000 0.5000 0.0000
Cd: 0.5000 0.5000 0.5000

Computed properties:
* theoretical density: 2.844 g/cm³
* ΔH_f (0 K): 0.6697 eV per atom

---

[10]
# CsKTlCd2

An optimized crystal structure of CsKTlCd2 (PBE-GGA, the Alexandria database).

Cell: 5.9168 5.9168 6.6501 Å, 90.00 90.00 90.00°
Fractional coordinates of all 5 atoms:
Cs: 0.0000 0.0000 0.0000
K: 0.5000 0.5000 0.0000
Tl: 0.5000 0.5000 0.5000
Cd: 0.0000 0.5000 0.5000
Cd: 0.5000 0.0000 0.5000

Computed properties:
* theoretical density: 4.288 g/cm³
* ΔH_f (0 K): 0.0456 eV per atom

---

[11]
# Cs2KTl6Cd

An optimized crystal structure of Cs2KTl6Cd (PBE-GGA, the Alexandria database).

Cell: 6.5035 8.7054 8.9349 Å, 82.61 69.10 68.44°
Fractional coordinates of all 10 atoms:
Cs: 0.2434 0.3055 0.2057
Cs: 0.7566 0.6945 0.7943
K: 0.0000 0.0000 0.0000
Tl: 0.2292 0.7392 0.2878
Tl: 0.2477 0.9472 0.5594
Tl: 0.2672 0.2575 0.7207
Tl: 0.7328 0.7425 0.2793
Tl: 0.7523 0.0528 0.4406
Tl: 0.7708 0.2608 0.7122
Cd: 0.5000 0.5000 0.5000

Computed properties:
* theoretical density: 6.210 g/cm³
* ΔH_f (0 K): -0.0343 eV per atom

---

[12]
# Cs2KTl2Cd

An optimized crystal structure of Cs2KTl2Cd (PBE-GGA, the Alexandria database).

Cell: 10.1525 10.1525 10.1525 Å, 124.97 79.05 128.08°
Fractional coordinates of all 12 atoms:
Cs: 0.1946 0.1721 0.3666
Cs: 0.3054 0.6721 0.9775
Cs: 0.6946 0.3279 0.0225
Cs: 0.8054 0.8279 0.6334
K: 0.2500 0.7500 0.5000
K: 0.7500 0.2500 0.5000
Tl: 0.0618 0.8061 0.8678
Tl: 0.4382 0.3061 0.7443
Tl: 0.5618 0.6939 0.2557
Tl: 0.9382 0.1939 0.1322
Cd: 0.2500 0.2500 0.0000
Cd: 0.7500 0.7500 0.0000

Computed properties:
* theoretical density: 4.202 g/cm³
* ΔH_f (0 K): -0.0447 eV per atom

---

[13]
# CsKTl3Cd

An optimized crystal structure of CsKTl3Cd (PBE-GGA, the Alexandria database).

Cell: 9.1709 9.1709 7.7882 Å, 90.00 90.00 132.20°
Fractional coordinates of all 12 atoms:
Cs: 0.1909 0.8091 0.7500
Cs: 0.8091 0.1909 0.2500
K: 0.1476 0.8524 0.2500
K: 0.8524 0.1476 0.7500
Tl: 0.2443 0.2443 0.0000
Tl: 0.2443 0.2443 0.5000
Tl: 0.3737 0.6263 0.2500
Tl: 0.6263 0.3737 0.7500
Tl: 0.7557 0.7557 0.0000
Tl: 0.7557 0.7557 0.5000
Cd: 0.4173 0.5827 0.7500
Cd: 0.5827 0.4173 0.2500

Computed properties:
* theoretical density: 6.143 g/cm³
* ΔH_f (0 K): -0.0387 eV per atom

---

[14]
# Cs2KTl12Cd3

An optimized crystal structure of Cs2KTl12Cd3 (PBE-GGA, the Alexandria database).

Cell: 12.7812 12.7812 12.7812 Å, 37.55 37.55 37.55°
Fractional coordinates of all 18 atoms:
Cs: 0.1486 0.1486 0.1486
Cs: 0.8514 0.8514 0.8514
K: 0.5000 0.5000 0.5000
Tl: 0.0866 0.0866 0.6908
Tl: 0.0866 0.6908 0.0866
Tl: 0.1392 0.5616 0.5616
Tl: 0.3092 0.9134 0.9134
Tl: 0.4384 0.4384 0.8608
Tl: 0.4384 0.8608 0.4384
Tl: 0.5616 0.1392 0.5616
Tl: 0.5616 0.5616 0.1392
Tl: 0.6908 0.0866 0.0866
Tl: 0.8608 0.4384 0.4384
Tl: 0.9134 0.3092 0.9134
Tl: 0.9134 0.9134 0.3092
Cd: 0.0000 0.5000 0.5000
Cd: 0.5000 0.0000 0.5000
Cd: 0.5000 0.5000 0.0000

Computed properties:
* theoretical density: 7.386 g/cm³
* ΔH_f (0 K): 0.0459 eV per atom

---

[15]
# Cs2KTl2Cd2

An optimized crystal structure of Cs2KTl2Cd2 (PBE-GGA, the Alexandria database).

Cell: 12.9244 4.8650 11.1009 Å, 90.00 106.77 90.00°
Fractional coordinates of all 14 atoms:
Cs: 0.1030 0.0000 0.3682
Cs: 0.3970 0.5000 0.6318
Cs: 0.6030 0.5000 0.3682
Cs: 0.8970 0.0000 0.6318
K: 0.0000 0.5000 0.0000
K: 0.5000 0.0000 0.0000
Tl: 0.2119 0.0000 0.7554
Tl: 0.2881 0.5000 0.2446
Tl: 0.7119 0.5000 0.7554
Tl: 0.7881 0.0000 0.2446
Cd: 0.2426 0.0000 0.0723
Cd: 0.2574 0.5000 0.9277
Cd: 0.7426 0.5000 0.0723
Cd: 0.7574 0.0000 0.9277

Computed properties:
* theoretical density: 4.664 g/cm³
* ΔH_f (0 K): -0.0424 eV per atom

---

[16]
# CsKTl2Cd

An optimized crystal structure of CsKTl2Cd (PBE-GGA, the Alexandria database).

Cell: 5.8951 5.8951 6.5786 Å, 90.00 90.00 90.00°
Fractional coordinates of all 5 atoms:
Cs: 0.0000 0.0000 0.0000
K: 0.5000 0.5000 0.0000
Tl: 0.0000 0.5000 0.5000
Tl: 0.5000 0.0000 0.5000
Cd: 0.5000 0.5000 0.5000

Computed properties:
* theoretical density: 5.035 g/cm³
* ΔH_f (0 K): 0.0662 eV per atom

---

[17]
# Cs2KTlCd

An optimized crystal structure of Cs2KTlCd (PBE-GGA, the Alexandria database).

Cell: 7.5909 7.5909 5.8172 Å, 90.00 90.00 90.00°
Fractional coordinates of all 5 atoms:
Cs: 0.0000 0.5000 0.0000
Cs: 0.5000 0.0000 0.0000
K: 0.0000 0.0000 0.5000
Tl: 0.5000 0.5000 0.5000
Cd: 0.5000 0.5000 0.0000

Computed properties:
* energy above the lowest structure with this stoichiometry: 0.0 meV per atom
* theoretical density: 3.080 g/cm³
* ΔH_f (0 K): 0.0627 eV per atom

---

[18]
# Cs2KTlCd

An optimized crystal structure of Cs2KTlCd (PBE-GGA, the Alexandria database).

Cell: 7.3671 7.3671 6.9058 Å, 90.00 90.00 90.00°
Fractional coordinates of all 5 atoms:
Cs: 0.0000 0.5000 0.0000
Cs: 0.5000 0.0000 0.0000
K: 0.0000 0.0000 0.5000
Tl: 0.0000 0.0000 0.0000
Cd: 0.5000 0.5000 0.5000

Computed properties:
* energy above the lowest structure with this stoichiometry: 84.1 meV per atom
* theoretical density: 2.754 g/cm³
* ΔH_f (0 K): 0.1468 eV per atom

---

[19]
# Cs2KTl5Cd2

An optimized crystal structure of Cs2KTl5Cd2 (PBE-GGA, the Alexandria database).

Cell: 13.0396 13.0396 4.5133 Å, 90.00 90.00 90.00°
Fractional coordinates of all 20 atoms:
Cs: 0.1796 0.3204 0.0000
Cs: 0.3204 0.8204 0.0000
Cs: 0.6796 0.1796 0.0000
Cs: 0.8204 0.6796 0.0000
K: 0.0000 0.0000 0.0000
K: 0.5000 0.5000 0.0000
Tl: 0.0000 0.5000 0.5000
Tl: 0.0652 0.7769 0.5000
Tl: 0.2231 0.0652 0.5000
Tl: 0.2769 0.5652 0.5000
Tl: 0.4348 0.2769 0.5000
Tl: 0.5000 0.0000 0.5000
Tl: 0.5652 0.7231 0.5000
Tl: 0.7231 0.4348 0.5000
Tl: 0.7769 0.9348 0.5000
Tl: 0.9348 0.2231 0.5000
Cd: 0.1170 0.6170 0.0000
Cd: 0.3830 0.1170 0.0000
Cd: 0.6170 0.8830 0.0000
Cd: 0.8830 0.3830 0.0000

Computed properties:
* theoretical density: 6.715 g/cm³
* ΔH_f (0 K): -0.0302 eV per atom

---

[20]
# Cs2KZnCd

An optimized crystal structure of Cs2KZnCd (PBE-GGA, the Alexandria database).

Cell: 7.5208 7.5208 5.2748 Å, 90.00 90.00 90.00°
Fractional coordinates of all 5 atoms:
Cs: 0.0000 0.5000 0.0000
Cs: 0.5000 0.0000 0.0000
K: 0.0000 0.0000 0.5000
Zn: 0.5000 0.5000 0.0000
Cd: 0.5000 0.5000 0.5000

Computed properties:
* energy above the lowest structure with this stoichiometry: 0.0 meV per atom
* theoretical density: 2.687 g/cm³
* ΔH_f (0 K): 0.1044 eV per atom

---

[21]
# Cs2KZnCd

An optimized crystal structure of Cs2KZnCd (PBE-GGA, the Alexandria database).

Cell: 7.7310 7.7310 5.2394 Å, 90.00 90.00 90.00°
Fractional coordinates of all 5 atoms:
Cs: 0.0000 0.5000 0.0000
Cs: 0.5000 0.0000 0.0000
K: 0.0000 0.0000 0.5000
Zn: 0.5000 0.5000 0.5000
Cd: 0.5000 0.5000 0.0000

Computed properties:
* energy above the lowest structure with this stoichiometry: 23.9 meV per atom
* theoretical density: 2.560 g/cm³
* ΔH_f (0 K): 0.1283 eV per atom

---

[22]
# CsKZnCd

An optimized crystal structure of CsKZnCd (PBE-GGA, the Alexandria database).

Cell: 8.9551 8.9551 8.9551 Å, 90.00 90.00 90.00°
Fractional coordinates of all 16 atoms:
Cs: 0.0000 0.0000 0.0000
Cs: 0.0000 0.5000 0.5000
Cs: 0.5000 0.0000 0.5000
Cs: 0.5000 0.5000 0.0000
K: 0.0000 0.0000 0.5000
K: 0.0000 0.5000 0.0000
K: 0.5000 0.0000 0.0000
K: 0.5000 0.5000 0.5000
Zn: 0.2500 0.2500 0.7500
Zn: 0.2500 0.7500 0.2500
Zn: 0.7500 0.2500 0.2500
Zn: 0.7500 0.7500 0.7500
Cd: 0.2500 0.2500 0.2500
Cd: 0.2500 0.7500 0.7500
Cd: 0.7500 0.2500 0.7500
Cd: 0.7500 0.7500 0.2500

Computed properties:
* theoretical density: 3.236 g/cm³
* ΔH_f (0 K): 0.1337 eV per atom

---

[23]
# CsK2ZnCd

An optimized crystal structure of CsK2ZnCd (PBE-GGA, the Alexandria database).

Cell: 6.8551 6.8551 5.2704 Å, 90.00 90.00 90.00°
Fractional coordinates of all 5 atoms:
Cs: 0.0000 0.0000 0.0000
K: 0.0000 0.5000 0.5000
K: 0.5000 0.0000 0.5000
Zn: 0.5000 0.5000 0.5000
Cd: 0.5000 0.5000 0.0000

Computed properties:
* energy above the lowest structure with this stoichiometry: 0.0 meV per atom
* theoretical density: 2.608 g/cm³
* ΔH_f (0 K): 0.0819 eV per atom

---

[24]
# CsK2ZnCd

An optimized crystal structure of CsK2ZnCd (PBE-GGA, the Alexandria database).

Cell: 6.9989 6.9989 5.2616 Å, 90.00 90.00 90.00°
Fractional coordinates of all 5 atoms:
Cs: 0.0000 0.0000 0.0000
K: 0.0000 0.5000 0.5000
K: 0.5000 0.0000 0.5000
Zn: 0.5000 0.5000 0.0000
Cd: 0.5000 0.5000 0.5000

Computed properties:
* energy above the lowest structure with this stoichiometry: 24.1 meV per atom
* theoretical density: 2.506 g/cm³
* ΔH_f (0 K): 0.1060 eV per atom

---

[25]
# Cs3LaCd

An optimized crystal structure of Cs3LaCd (PBE-GGA, the Alexandria database).

Cell: 7.6182 7.6182 7.6182 Å, 90.00 90.00 90.00°
Fractional coordinates of all 5 atoms:
Cs: 0.0000 0.0000 0.5000
Cs: 0.0000 0.5000 0.0000
Cs: 0.5000 0.0000 0.0000
La: 0.0000 0.0000 0.0000
Cd: 0.5000 0.5000 0.5000

Computed properties:
* theoretical density: 2.441 g/cm³
* ΔH_f (0 K): 0.7199 eV per atom

---

[26]
# CsLa2Cd2

An optimized crystal structure of CsLa2Cd2 (PBE-GGA, the Alexandria database).

Cell: 5.0307 5.0307 16.0533 Å, 90.00 90.00 90.00°
Fractional coordinates of all 10 atoms:
Cs: 0.0000 0.0000 0.0000
Cs: 0.5000 0.5000 0.5000
La: 0.0000 0.5000 0.2500
La: 0.0000 0.5000 0.7500
La: 0.5000 0.0000 0.2500
La: 0.5000 0.0000 0.7500
Cd: 0.0000 0.0000 0.3957
Cd: 0.0000 0.0000 0.6043
Cd: 0.5000 0.5000 0.1043
Cd: 0.5000 0.5000 0.8957

Computed properties:
* energy above the lowest structure with this stoichiometry: 128.3 meV per atom
* theoretical density: 5.195 g/cm³
* ΔH_f (0 K): 0.0969 eV per atom

---

Respective calculated volume values: 233; 278; 278; 257; 312; 182; 144; 174; 272; 233; 440; 326; 243; 696; 334; 229; 335; 375; 384; 298; 313; 180; 248; 258; 442; 203 Å³/f.u..